# 1
Compound: HoTiCuOs
Source: Alexandria via LeMat-Bulk
Functional: PBE
Structure: optimized geometry

a b c (Å): 4.607 4.607 4.607
angles (deg): 60.00 60.00 60.00
Sites, in units of the cell vectors:
Os 0.750 0.750 0.750
Ho 0.000 0.000 0.000
Cu 0.250 0.250 0.250
Ti 0.500 0.500 0.500

Summary:
Symmetry ... F-43m, No. 216
Theoretical density ... 11.2 g/cm3
E_form ... -73.7 kJ/mol of formula units

# 2
Compound: Mg2HPb
Source: Alexandria via LeMat-Bulk
Functional: PBE
Structure: optimized geometry

a b c (Å): 5.587 5.587 6.610
angles (deg): 65.00 65.00 90.00
Sites, in units of the cell vectors:
Pb 0.000 0.000 0.000
Pb 0.750 0.250 0.500
H 0.500 0.500 0.000
H 0.250 0.750 0.500
Mg 0.447 0.125 0.250
Mg 0.303 0.625 0.250
Mg 0.375 0.553 0.750
Mg 0.875 0.697 0.750

Summary:
Symmetry ... I-42d, No. 122
Polymorph energy (0 for the lowest one) ... 62 meV per atom
Theoretical density ... 5.2 g/cm3

# 3
Compound: KBaPdF6
Source: Alexandria via LeMat-Bulk
Functional: PBE
Structure: optimized geometry

a b c (Å): 6.082 6.045 4.594
angles (deg): 89.99 89.92 57.11
Last column: magnetic moment on the atom in μB.
Sites, in units of the cell vectors:
K 0.663 0.667 0.290  0.00
Ba 0.006 0.004 0.830  0.00
Pd 0.334 0.333 0.547  0.64
F 0.118 0.175 0.326  0.11
F 0.467 0.010 0.786  0.02
F 0.542 0.483 0.790  0.14
F 0.005 0.537 0.780  0.02
F 0.194 0.667 0.322  0.02
F 0.671 0.125 0.328  0.02

Summary:
ΔE_f (raw) ... -2.518 eV/atom
Symmetry ... P1, No. 1
Theoretical density ... 4.6 g/cm3

# 4
Compound: LiCaAcMg
Source: Alexandria via LeMat-Bulk
Functional: PBE
Structure: optimized geometry

a b c (Å): 5.715 5.715 5.715
angles (deg): 60.00 60.00 60.00
Sites, in units of the cell vectors:
Mg 0.750 0.750 0.750
Ac 0.500 0.500 0.500
Ca 0.000 0.000 0.000
Li 0.250 0.250 0.250

Summary:
Symmetry ... F-43m, No. 216
Theoretical density ... 3.8 g/cm3
E_form ... -5.0 kJ/mol of formula units

# 5
Compound: Y2Ho4Tm7
Source: Alexandria via LeMat-Bulk
Functional: PBE
Structure: optimized geometry

a b c (Å): 6.453 9.682 6.680
angles (deg): 93.14 96.34 75.96
Sites, in units of the cell vectors:
Y 0.711 0.350 0.181
Y 0.289 0.650 0.819
Ho 0.121 0.119 0.532
Ho 0.879 0.881 0.468
Ho 0.623 0.242 0.669
Ho 0.377 0.758 0.331
Tm 0.786 0.571 0.611
Tm 0.214 0.429 0.389
Tm 0.000 0.000 0.000
Tm 0.539 0.911 0.791
Tm 0.461 0.088 0.209
Tm 0.852 0.661 0.092
Tm 0.148 0.339 0.908

Summary:
Symmetry ... P-1, No. 2
Theoretical density ... 8.3 g/cm3
E_form ... 113.9 kJ/mol of formula units

# 6
Compound: KNiC2S
Source: Alexandria via LeMat-Bulk
Functional: PBE
Structure: optimized geometry

a b c (Å): 3.810 5.426 3.810
angles (deg): 90.00 90.00 90.00
Last column: magnetic moment on the atom in μB.
Sites, in units of the cell vectors:
C 0.000 0.000 0.500  0.01
C 0.500 0.000 0.000  0.01
Ni 0.500 0.500 0.500  0.33
K 0.000 0.500 0.000  -0.01
S 0.000 0.000 0.000  -0.01

Summary:
ΔE_f (raw) ... 2.417 eV/atom
Symmetry ... P4/mmm, No. 123
Theoretical density ... 3.2 g/cm3

# 7
Compound: K2SmTmO4
Source: Alexandria via LeMat-Bulk
Functional: PBE
Structure: optimized geometry

a b c (Å): 3.505 6.072 6.584
angles (deg): 107.85 90.00 90.00
Sites, in units of the cell vectors:
K 0.500 0.000 0.500
K 0.000 0.500 0.500
Sm 0.500 0.500 0.000
Tm 0.000 0.000 0.000
O 0.500 0.219 0.185
O 0.500 0.781 0.815
O 0.000 0.261 0.813
O 0.000 0.739 0.187

Summary:
ΔE_f (raw) ... -2.733 eV/atom
Symmetry ... P2/m, No. 10
Theoretical density ... 5.7 g/cm3

# 8
Compound: BaP2Au
Source: Alexandria via LeMat-Bulk
Functional: PBE
Structure: optimized geometry

a b c (Å): 5.808 5.808 5.808
angles (deg): 144.42 120.28 71.48
Sites, in units of the cell vectors:
Au 0.543 0.543 0.000
Ba 0.239 0.739 0.500
P 0.935 0.935 0.000
P 0.783 0.283 0.500

Summary:
Symmetry ... Imm2, No. 44
Polymorph energy (0 for the lowest one) ... 295 meV per atom
Theoretical density ... 6.8 g/cm3
E_form ... -108.2 kJ/mol of formula units

# 9
Compound: NaSnHgSb
Source: Alexandria via LeMat-Bulk
Functional: PBE
Structure: optimized geometry

a b c (Å): 4.308 4.308 9.373
angles (deg): 90.38 102.90 119.98
Sites, in units of the cell vectors:
Na 0.665 0.660 0.325
Sn 0.736 0.192 0.928
Hg 0.506 0.081 0.587
Sb 0.178 0.915 0.093

Summary:
ΔE_f (raw) ... -0.113 eV/atom
Symmetry ... Cm, No. 8
Polymorph energy (0 for the lowest one) ... 31 meV per atom
Theoretical density ... 5.3 g/cm3

# 10
Compound: HfTi3S
Source: Alexandria via LeMat-Bulk
Functional: PBE
Structure: optimized geometry

a b c (Å): 5.297 5.444 6.321
angles (deg): 90.00 90.00 90.00
Sites, in units of the cell vectors:
Hf 0.448 0.337 0.701
Hf 0.948 0.016 0.201
Ti 0.387 0.328 0.201
Ti 0.436 0.874 0.955
Ti 0.936 0.479 0.455
Ti 0.887 0.024 0.701
Ti 0.935 0.479 0.946
Ti 0.435 0.874 0.446
S 0.172 0.702 0.701
S 0.672 0.651 0.201

Summary:
ΔE_f (raw) ... -0.479 eV/atom
Symmetry ... Pmn2_1, No. 31
Polymorph energy (0 for the lowest one) ... 54 meV per atom
Theoretical density ... 6.5 g/cm3

# 11
Compound: AlRu2Cl
Source: Alexandria via LeMat-Bulk
Functional: PBE
Structure: optimized geometry

a b c (Å): 2.918 2.918 8.440
angles (deg): 90.00 90.00 120.39
Last column: magnetic moment on the atom in μB.
Sites, in units of the cell vectors:
Ru 0.000 0.000 0.011  0.34
Ru 0.500 0.500 0.263  0.08
Al 0.000 0.000 0.499  0.00
Cl 0.500 0.500 0.727  0.00

Summary:
ΔE_f (raw) ... 0.281 eV/atom
Symmetry ... Cmm2, No. 35
Polymorph energy (0 for the lowest one) ... 387 meV per atom
Theoretical density ... 7.1 g/cm3

# 12
Compound: Ga3TeSe
Source: Alexandria via LeMat-Bulk
Functional: PBE
Structure: optimized geometry

a b c (Å): 5.577 5.577 5.577
angles (deg): 90.00 90.00 90.00
Sites, in units of the cell vectors:
Te 0.000 0.000 0.000
Ga 0.000 0.500 0.000
Ga 0.000 0.000 0.500
Ga 0.500 0.000 0.000
Se 0.500 0.500 0.500

Summary:
ΔE_f (raw) ... 0.473 eV/atom
Symmetry ... Pm-3m, No. 221
Polymorph energy (0 for the lowest one) ... 312 meV per atom
Theoretical density ... 4.0 g/cm3

Look up the theoretical density of the tenth one.
6.5 g/cm3

Repeat the tenth record exactly.
Compound: HfTi3S
Source: Alexandria via LeMat-Bulk
Functional: PBE
Structure: optimized geometry

a b c (Å): 5.297 5.444 6.321
angles (deg): 90.00 90.00 90.00
Sites, in units of the cell vectors:
Hf 0.448 0.337 0.701
Hf 0.948 0.016 0.201
Ti 0.387 0.328 0.201
Ti 0.436 0.874 0.955
Ti 0.936 0.479 0.455
Ti 0.887 0.024 0.701
Ti 0.935 0.479 0.946
Ti 0.435 0.874 0.446
S 0.172 0.702 0.701
S 0.672 0.651 0.201

Summary:
ΔE_f (raw) ... -0.479 eV/atom
Symmetry ... Pmn2_1, No. 31
Polymorph energy (0 for the lowest one) ... 54 meV per atom
Theoretical density ... 6.5 g/cm3

Which of these has the highest theoretical density?
HoTiCuOs